6
Lattice="-8.262 3.742 -3.100 -1.224 -1.153 2.852 3.982 5.241 -0.047" Properties=species:S:1:pos:R:3 comment="NaCaV GGA-PBE relaxed" dos_ef_per_ev_atom=0.807 sg="No. 1" energy_ev_per_fu=-10.91 de_polymorph_mev_per_atom=235 pbc="T T T"
Na -2.158 1.425 1.682
Na 1.695 3.379 0.819
Ca -4.844 4.509 -0.163
Ca -0.398 6.221 -1.259
V -7.494 3.865 -2.368
V -7.080 2.083 -0.184